DFT (PBE) results for a relaxed structure of ZrTaRe2Os.

abc: 4.660 4.660 4.894
angles: 90.00 90.00 90.00
Sites, in units of the cell vectors:
Zr 0.000 0.000 0.000
Ta 0.000 0.000 0.500
Re 0.000 0.500 0.500
Re 0.500 0.000 0.500
Os 0.500 0.500 0.000

Summary:
As for the energy of formation: 2.2413 eV/atom.

DFT (PBE) results for a relaxed structure of Tb2Re3Os.

abc: 5.302 5.302 5.531
angles: 118.64 118.64 60.16
Sites, in units of the cell vectors:
Tb 0.126 0.126 0.379
Tb 0.874 0.874 0.621
Re 0.000 0.500 0.000
Re 0.500 0.000 0.000
Re 0.500 0.500 0.000
Os 0.500 0.500 0.500

Summary:
As for the energy of formation: -0.1913 eV/atom.

DFT (PBE) results for a relaxed structure of Tb2ReOs3.

abc: 5.461 5.461 8.524
angles: 90.00 90.00 120.00
Sites, in units of the cell vectors:
Tb 0.333 0.667 0.066
Tb 0.333 0.667 0.434
Tb 0.667 0.333 0.566
Tb 0.667 0.333 0.934
Re 0.000 0.000 0.000
Re 0.000 0.000 0.500
Os 0.173 0.345 0.750
Os 0.173 0.827 0.750
Os 0.345 0.173 0.250
Os 0.655 0.827 0.750
Os 0.827 0.173 0.250
Os 0.827 0.655 0.250

Summary:
As for the energy of formation: -0.2645 eV/atom.

DFT (PBE) results for a relaxed structure of TbReOs.

abc: 8.673 5.477 5.477
angles: 58.64 90.00 90.00
Sites, in units of the cell vectors:
Tb 0.182 0.000 0.000
Tb 0.313 0.668 0.668
Tb 0.687 0.668 0.668
Tb 0.818 0.000 0.000
Re 0.247 0.337 0.337
Re 0.500 0.163 0.672
Re 0.500 0.672 0.163
Re 0.753 0.337 0.337
Os 0.000 0.503 0.503
Os 0.000 0.504 0.987
Os 0.000 0.987 0.504
Os 0.500 0.158 0.158

Summary:
The value obtained for the energy above the most stable polymorph in this dataset is 0.00 eV per formula unit. As for the energy of formation: -0.2406 eV/atom.

DFT (PBE) results for a relaxed structure of TbReOs.

abc: 5.544 5.544 7.174
angles: 128.17 128.17 46.39
Sites, in units of the cell vectors:
Tb 0.067 0.067 0.318
Tb 0.933 0.933 0.682
Re 0.341 0.341 0.930
Re 0.659 0.659 0.070
Os 0.331 0.331 0.267
Os 0.669 0.669 0.733

Summary:
The value obtained for the energy above the most stable polymorph in this dataset is 0.34 eV per formula unit. As for the energy of formation: -0.1288 eV/atom.

DFT (PBE) results for a relaxed structure of ReTcOs2.

abc: 2.692 2.692 9.143
angles: 90.00 90.00 116.25
Sites, in units of the cell vectors:
Re 0.000 0.000 0.000
Tc 0.000 0.000 0.500
Os 0.500 0.500 0.250
Os 0.500 0.500 0.750

Summary:
The value obtained for the energy above the most stable polymorph in this dataset is 2.38 eV per formula unit. As for the energy of formation: 0.5041 eV/atom.